Material: BaVCl3
Method: DFT, GGA-PBE
State: relaxed

Cell lengths 5.012, 5.012, 5.012 Å; angles 90.00, 90.00, 90.00 degrees
Element x y z (fractional)
1 Ba 0.000 0.000 0.000
2 V 0.500 0.500 0.500
3 Cl 0.000 0.500 0.500
4 Cl 0.500 0.000 0.500
5 Cl 0.500 0.500 0.000

Offset from the most stable computed form: 0.00 eV per formula unit
Electronic total energy: -0.173 hartree per atom
N(E_F): 2.56 states/eV per cell
Size of the total moment: 3.691 μB per formula unit
Formation energy (no corrections): -1.3941 eV/atom